# 1
Rb2TeRhBr6: relaxed, PBE-GGA.

```
Rb2TeRhBr6
1.0
-3.899 3.899 5.444
3.899 -3.899 5.444
3.899 3.899 -5.444
Rb Te Rh Br
2 1 1 6
Direct
0.250 0.750 0.500
0.750 0.250 0.500
0.000 0.000 0.000
0.500 0.500 0.000
0.264 0.264 0.000
0.266 0.266 0.532
0.266 0.734 0.000
0.734 0.266 0.000
0.734 0.734 0.468
0.736 0.736 0.000
```

Results
space-group type: I4/mmm
E_form (uncorrected): -8.04 eV/f.u.


# 2
Rb2TlRhBr6: relaxed, PBE-GGA.

```
Rb2TlRhBr6
1.0
7.757 0.000 0.000
0.000 11.197 0.000
0.000 0.000 8.172
Rb Tl Rh Br
4 2 2 12
Direct
0.250 0.015 0.223
0.250 0.485 0.223
0.750 0.515 0.777
0.750 0.985 0.777
0.250 0.250 0.721
0.750 0.750 0.279
0.250 0.750 0.773
0.750 0.250 0.227
0.019 0.750 0.556
0.021 0.750 0.992
0.250 0.525 0.775
0.250 0.975 0.775
0.479 0.750 0.992
0.481 0.750 0.556
0.519 0.250 0.444
0.521 0.250 0.008
0.750 0.025 0.225
0.750 0.475 0.225
0.979 0.250 0.008
0.981 0.250 0.444
```

Results
space-group type: Pmmn
E_form (uncorrected): -10.17 eV/f.u.